NaGaSn4: optimized geometry, PBE.

Values from the calculation:
- SG = Imma (74)
- offset from the most stable computed form (kcal/mol of atoms) = 0.00
- calculated total energy (eV/cell) = -40.55
- calculated formation energy (eV/atom) = 0.01
- M_tot (μB/cell) = 0.00

a b c (Å): 8.171 8.171 8.171
angles (deg): 133.44 115.39 83.31
Sites, in units of the cell vectors:
1 Na 0.428 0.178 0.250
2 Na 0.572 0.822 0.750
3 Ga 0.211 0.461 0.750
4 Ga 0.789 0.539 0.250
5 Sn 0.000 0.233 0.233
6 Sn 0.000 0.767 0.767
7 Sn 0.170 0.000 0.670
8 Sn 0.170 0.500 0.170
9 Sn 0.500 0.233 0.733
10 Sn 0.500 0.767 0.267
11 Sn 0.830 0.000 0.330
12 Sn 0.830 0.500 0.830